No. 1
# LiPrTiPt2 (PBE, relaxed)
# - V (Å³ per cell) = 196
# - theoretical density (g/cm3) = 9.9
# - ΔH_f (0 K) (eV/atom) = -0.786
# - total magnetic moment (μB/f.u.) = 0.00
data_LiPrTiPt2
_chemical_formula_sum 'Li2 Pr2 Ti2 Pt4'
_symmetry_space_group_name_H-M 'I -4 m 2'
_symmetry_Int_Tables_number 119
_symmetry_space_group_name_Hall 'I -4 -2'
_cell_length_a 4.0458
_cell_length_b 4.0458
_cell_length_c 11.9716
_cell_angle_alpha 90.00
_cell_angle_beta 90.00
_cell_angle_gamma 90.00
loop_
_atom_site_label
_atom_site_type_symbol
_atom_site_fract_x
_atom_site_fract_y
_atom_site_fract_z
Li1 Li 0.0000 0.0000 0.0000
Pr1 Pr 0.0000 0.5000 0.7500
Ti1 Ti 0.0000 0.0000 0.5000
Pt1 Pt 0.0000 0.5000 0.1335



No. 2
# LiPrTm2Pt4 (PBE, relaxed)
# - V (Å³ per cell) = 492
# - theoretical density (g/cm3) = 12.8
# - ΔH_f (0 K) (eV/atom) = -1.058
# - total magnetic moment (μB/f.u.) = 0.00
data_LiPrTm2Pt4
_chemical_formula_sum 'Li3 Pr3 Tm6 Pt12'
_symmetry_space_group_name_H-M 'R -3 m'
_symmetry_Int_Tables_number 166
_symmetry_space_group_name_Hall '-R 3 2"'
_cell_length_a 4.7327
_cell_length_b 4.7327
_cell_length_c 25.3624
_cell_angle_alpha 90.00
_cell_angle_beta 90.00
_cell_angle_gamma 120.00
loop_
_atom_site_label
_atom_site_type_symbol
_atom_site_fract_x
_atom_site_fract_y
_atom_site_fract_z
Li1 Li 0.0000 0.0000 0.0000
Pr1 Pr 0.0000 0.0000 0.5000
Tm1 Tm 0.0000 0.0000 0.2643
Pt1 Pt 0.0000 0.0000 0.1062
Pt2 Pt 0.0000 0.0000 0.3754



No. 3
# LiPrYPt (PBE, relaxed)
# - V (Å³ per cell) = 375
# - theoretical density (g/cm3) = 7.6
# - ΔH_f (0 K) (eV/atom) = -0.570
# - total magnetic moment (μB/f.u.) = 0.00
data_LiPrYPt
_chemical_formula_sum 'Li4 Pr4 Y4 Pt4'
_symmetry_space_group_name_H-M 'F -4 3 m'
_symmetry_Int_Tables_number 216
_symmetry_space_group_name_Hall 'F -4 2 3'
_cell_length_a 7.2111
_cell_length_b 7.2111
_cell_length_c 7.2111
_cell_angle_alpha 90.00
_cell_angle_beta 90.00
_cell_angle_gamma 90.00
loop_
_atom_site_label
_atom_site_type_symbol
_atom_site_fract_x
_atom_site_fract_y
_atom_site_fract_z
Li1 Li 0.0000 0.0000 0.0000
Pr1 Pr 0.2500 0.2500 0.2500
Y1 Y 0.2500 0.2500 0.7500
Pt1 Pt 0.0000 0.0000 0.5000



No. 4
# LiPrZnPt (PBE, relaxed)
# - V (Å³ per cell) = 247
# - theoretical density (g/cm3) = 8.2
# - ΔH_f (0 K) (eV/atom) = -0.606
# - total magnetic moment (μB/f.u.) = 0.00
# - excess energy over the best structure of this formula in the dataset (meV/atom) = 0
data_LiPrZnPt
_chemical_formula_sum 'Li3 Pr3 Zn3 Pt3'
_symmetry_space_group_name_H-M 'R 3 m'
_symmetry_Int_Tables_number 160
_symmetry_space_group_name_Hall 'R 3 -2"'
_cell_length_a 4.4817
_cell_length_b 4.4817
_cell_length_c 14.1999
_cell_angle_alpha 90.00
_cell_angle_beta 90.00
_cell_angle_gamma 120.00
loop_
_atom_site_label
_atom_site_type_symbol
_atom_site_fract_x
_atom_site_fract_y
_atom_site_fract_z
Li1 Li 0.0000 0.0000 0.0000
Pr1 Pr 0.0000 0.0000 0.2019
Zn1 Zn 0.0000 0.0000 0.7230
Pt1 Pt 0.0000 0.0000 0.4136



No. 5
# LiPr2Zn4Pt3 (PBE, relaxed)
# - V (Å³ per cell) = 194
# - theoretical density (g/cm3) = 9.7
# - ΔH_f (0 K) (eV/atom) = -0.686
# - total magnetic moment (μB/f.u.) = 0.00
data_LiPr2Zn4Pt3
_chemical_formula_sum 'Li1 Pr2 Zn4 Pt3'
_symmetry_space_group_name_H-M 'P -4 m 2'
_symmetry_Int_Tables_number 115
_symmetry_space_group_name_Hall 'P -4 -2'
_cell_length_a 4.0875
_cell_length_b 4.0875
_cell_length_c 11.6219
_cell_angle_alpha 90.00
_cell_angle_beta 90.00
_cell_angle_gamma 90.00
loop_
_atom_site_label
_atom_site_type_symbol
_atom_site_fract_x
_atom_site_fract_y
_atom_site_fract_z
Li1 Li 0.0000 0.0000 0.0000
Pr1 Pr 0.0000 0.5000 0.7405
Zn1 Zn 0.0000 0.0000 0.5000
Zn2 Zn 0.0000 0.5000 0.1325
Zn3 Zn 0.5000 0.5000 0.5000
Pt1 Pt 0.0000 0.5000 0.3566
Pt2 Pt 0.5000 0.5000 0.0000



No. 6
# LiPrZnPt2 (PBE, relaxed)
# - V (Å³ per cell) = 192
# - theoretical density (g/cm3) = 10.4
# - ΔH_f (0 K) (eV/atom) = -0.798
# - total magnetic moment (μB/f.u.) = 0.00
data_LiPrZnPt2
_chemical_formula_sum 'Li2 Pr2 Zn2 Pt4'
_symmetry_space_group_name_H-M 'I -4 m 2'
_symmetry_Int_Tables_number 119
_symmetry_space_group_name_Hall 'I -4 -2'
_cell_length_a 3.9728
_cell_length_b 3.9728
_cell_length_c 12.1927
_cell_angle_alpha 90.00
_cell_angle_beta 90.00
_cell_angle_gamma 90.00
loop_
_atom_site_label
_atom_site_type_symbol
_atom_site_fract_x
_atom_site_fract_y
_atom_site_fract_z
Li1 Li 0.0000 0.0000 0.0000
Pr1 Pr 0.0000 0.5000 0.7500
Zn1 Zn 0.0000 0.0000 0.5000
Pt1 Pt 0.0000 0.5000 0.1381



No. 7
# LiPrZnPt (PBE, relaxed)
# - V (Å³ per cell) = 314
# - theoretical density (g/cm3) = 8.6
# - ΔH_f (0 K) (eV/atom) = -0.529
# - total magnetic moment (μB/f.u.) = 0.00
# - excess energy over the best structure of this formula in the dataset (meV/atom) = 76
data_LiPrZnPt
_chemical_formula_sum 'Li4 Pr4 Zn4 Pt4'
_symmetry_space_group_name_H-M 'F -4 3 m'
_symmetry_Int_Tables_number 216
_symmetry_space_group_name_Hall 'F -4 2 3'
_cell_length_a 6.7983
_cell_length_b 6.7983
_cell_length_c 6.7983
_cell_angle_alpha 90.00
_cell_angle_beta 90.00
_cell_angle_gamma 90.00
loop_
_atom_site_label
_atom_site_type_symbol
_atom_site_fract_x
_atom_site_fract_y
_atom_site_fract_z
Li1 Li 0.0000 0.0000 0.0000
Pr1 Pr 0.2500 0.2500 0.7500
Zn1 Zn 0.2500 0.2500 0.2500
Pt1 Pt 0.0000 0.0000 0.5000



No. 8
# LiPr2ZnPt6 (PBE, relaxed)
# - V (Å³ per cell) = 665
# - theoretical density (g/cm3) = 11.4
# - ΔH_f (0 K) (eV/atom) = -0.678
# - total magnetic moment (μB/f.u.) = 0.00
data_LiPr2ZnPt6
_chemical_formula_sum 'Li3 Pr6 Zn3 Pt18'
_symmetry_space_group_name_H-M 'R -3 m'
_symmetry_Int_Tables_number 166
_symmetry_space_group_name_Hall '-R 3 2"'
_cell_length_a 5.6036
_cell_length_b 5.6036
_cell_length_c 24.4740
_cell_angle_alpha 90.00
_cell_angle_beta 90.00
_cell_angle_gamma 120.00
loop_
_atom_site_label
_atom_site_type_symbol
_atom_site_fract_x
_atom_site_fract_y
_atom_site_fract_z
Li1 Li 0.0000 0.0000 0.0000
Pr1 Pr 0.0000 0.0000 0.2017
Zn1 Zn 0.0000 0.0000 0.5000
Pt1 Pt 0.0030 0.5015 0.7534



No. 9
# Li4PrPu (PBE, relaxed)
# - V (Å³ per cell) = 575
# - theoretical density (g/cm3) = 4.8
# - ΔH_f (0 K) (eV/atom) = 0.213
# - total magnetic moment (μB/f.u.) = 7.24
data_Li4PrPu
_chemical_formula_sum 'Li16 Pr4 Pu4'
_symmetry_space_group_name_H-M 'F -4 3 m'
_symmetry_Int_Tables_number 216
_symmetry_space_group_name_Hall 'F -4 2 3'
_cell_length_a 8.3173
_cell_length_b 8.3173
_cell_length_c 8.3173
_cell_angle_alpha 90.00
_cell_angle_beta 90.00
_cell_angle_gamma 90.00
loop_
_atom_site_label
_atom_site_type_symbol
_atom_site_fract_x
_atom_site_fract_y
_atom_site_fract_z
Li1 Li 0.1254 0.1254 0.1254
Pr1 Pr 0.0000 0.0000 0.5000
Pu1 Pu 0.2500 0.2500 0.7500



No. 10
# LiPrPuRu (PBE, relaxed)
# - V (Å³ per cell) = 352
# - theoretical density (g/cm3) = 9.3
# - ΔH_f (0 K) (eV/atom) = 0.011
# - total magnetic moment (μB/f.u.) = 5.54
data_LiPrPuRu
_chemical_formula_sum 'Li4 Pr4 Pu4 Ru4'
_symmetry_space_group_name_H-M 'F -4 3 m'
_symmetry_Int_Tables_number 216
_symmetry_space_group_name_Hall 'F -4 2 3'
_cell_length_a 7.0604
_cell_length_b 7.0604
_cell_length_c 7.0604
_cell_angle_alpha 90.00
_cell_angle_beta 90.00
_cell_angle_gamma 90.00
loop_
_atom_site_label
_atom_site_type_symbol
_atom_site_fract_x
_atom_site_fract_y
_atom_site_fract_z
Li1 Li 0.0000 0.0000 0.0000
Pr1 Pr 0.2500 0.2500 0.7500
Pu1 Pu 0.2500 0.2500 0.2500
Ru1 Ru 0.0000 0.0000 0.5000



No. 11
# LiPr2PuS5 (PBE, relaxed)
# - V (Å³ per cell) = 798
# - theoretical density (g/cm3) = 5.8
# - uncorrected energy (eV per atom) = -6.9428
# - total magnetic moment (μB/f.u.) = 5.00
data_LiPr2PuS5
_chemical_formula_sum 'Li4 Pr8 Pu4 S20'
_symmetry_space_group_name_H-M 'C m c 21'
_symmetry_Int_Tables_number 36
_symmetry_space_group_name_Hall 'C 2c -2'
_cell_length_a 4.0300
_cell_length_b 16.6159
_cell_length_c 11.9245
_cell_angle_alpha 90.00
_cell_angle_beta 90.00
_cell_angle_gamma 90.00
loop_
_atom_site_label
_atom_site_type_symbol
_atom_site_fract_x
_atom_site_fract_y
_atom_site_fract_z
Li1 Li 0.0000 0.0176 0.0000
Pr1 Pr 0.0000 0.3761 0.8200
Pr2 Pr 0.0000 0.3911 0.2057
Pu1 Pu 0.0000 0.3004 0.5234
S1 S 0.0000 0.0006 0.8024
S2 S 0.0000 0.1349 0.5192
S3 S 0.0000 0.1922 0.8665
S4 S 0.0000 0.2113 0.1798
S5 S 0.0000 0.4527 0.5893



No. 12
# Li2PrPuS4 (PBE, relaxed)
# - V (Å³ per cell) = 174
# - theoretical density (g/cm3) = 5.0
# - uncorrected energy (eV per atom) = -6.5691
# - total magnetic moment (μB/f.u.) = 5.00
data_Li2PrPuS4
_chemical_formula_sum 'Li2 Pr1 Pu1 S4'
_symmetry_space_group_name_H-M 'P 1 2/m 1'
_symmetry_Int_Tables_number 10
_symmetry_space_group_name_Hall '-P 2y'
_cell_length_a 6.5993
_cell_length_b 4.0382
_cell_length_c 6.9841
_cell_angle_alpha 90.00
_cell_angle_beta 110.79
_cell_angle_gamma 90.00
loop_
_atom_site_label
_atom_site_type_symbol
_atom_site_fract_x
_atom_site_fract_y
_atom_site_fract_z
Li1 Li 0.0000 0.0000 0.0000
Li2 Li 0.0000 0.5000 0.5000
Pr1 Pr 0.5000 0.0000 0.5000
Pu1 Pu 0.5000 0.5000 0.0000
S1 S 0.2415 0.5000 0.2407
S2 S 0.2490 0.0000 0.7583